A geometry-optimized Re2Ni structure, computed with GGA-PBE.

abc: 9.0872 9.0872 4.8839
angles: 90.00 90.00 90.00
Closest atoms and distances in Å follow each position.
Element x y z (fractional)
Re 0.5334 0.8636 0.0000  2 Re 2.48-2.55, 4 Ni 2.58-2.63
Re 0.4666 0.1364 0.0000  2 Re 2.48-2.55, 4 Ni 2.58-2.63
Re 0.3145 0.6855 0.2497  2 Re 2.44-2.45, 5 Ni 2.64-2.68
Re 0.5981 0.5981 0.0000  3 Re 2.48-2.52, 2 Ni 2.75
Re 0.0981 0.9019 0.5000  3 Re 2.48-2.52, 2 Ni 2.75
Re 0.9666 0.3636 0.5000  2 Re 2.48-2.55, 4 Ni 2.58-2.63
Re 0.9019 0.0981 0.5000  3 Re 2.48-2.52, 2 Ni 2.75
Re 0.8636 0.5334 0.0000  2 Re 2.48-2.55, 4 Ni 2.58-2.63
Re 0.6364 0.0334 0.5000  2 Re 2.48-2.55, 4 Ni 2.58-2.63
Re 0.8145 0.8145 0.7497  2 Re 2.44-2.45, 5 Ni 2.64-2.68
Re 0.6855 0.3145 0.7503  2 Re 2.44-2.45, 5 Ni 2.64-2.68
Re 0.1855 0.1855 0.2503  2 Re 2.44-2.45, 5 Ni 2.64-2.68
Re 0.3145 0.6855 0.7503  2 Re 2.44-2.45, 5 Ni 2.64-2.68
Re 0.0334 0.6364 0.5000  2 Re 2.48-2.55, 4 Ni 2.58-2.63
Re 0.3636 0.9666 0.5000  2 Re 2.48-2.55, 4 Ni 2.58-2.63
Re 0.8145 0.8145 0.2503  2 Re 2.44-2.45, 5 Ni 2.64-2.68
Re 0.6855 0.3145 0.2497  2 Re 2.44-2.45, 5 Ni 2.64-2.68
Re 0.1364 0.4666 0.0000  2 Re 2.48-2.55, 4 Ni 2.58-2.63
Re 0.1855 0.1855 0.7497  2 Re 2.44-2.45, 5 Ni 2.64-2.68
Re 0.4019 0.4019 0.0000  3 Re 2.48-2.52, 2 Ni 2.75
Ni 0.0000 0.0000 0.0000  4 Ni 2.42, 4 Re 2.68
Ni 0.9372 0.2592 0.0000  2 Ni 2.42-2.52, 8 Re 2.58-2.65
Ni 0.5628 0.7592 0.5000  2 Ni 2.42-2.52, 8 Re 2.58-2.65
Ni 0.5000 0.5000 0.5000  4 Ni 2.42, 4 Re 2.68
Ni 0.2408 0.4372 0.5000  2 Ni 2.42-2.52, 8 Re 2.58-2.65
Ni 0.4372 0.2408 0.5000  2 Ni 2.42-2.52, 8 Re 2.58-2.65
Ni 0.0628 0.7408 0.0000  2 Ni 2.42-2.52, 8 Re 2.58-2.65
Ni 0.7592 0.5628 0.5000  2 Ni 2.42-2.52, 8 Re 2.58-2.65
Ni 0.2592 0.9372 0.0000  2 Ni 2.42-2.52, 8 Re 2.58-2.65
Ni 0.7408 0.0628 0.0000  2 Ni 2.42-2.52, 8 Re 2.58-2.65

The total magnetization is 0.1 Bohr magnetons per cell. The formation energy is 0.005 eV/atom.